First-principles (meta-GGA SCAN) data for In2SiP at its PBEsol-relaxed geometry, as listed in Alexandria via LeMat-Bulk.

Unit cell a=3.856 b=5.149 c=5.149 alpha=63.27 beta=68.01 gamma=68.01
Element x y z (fractional)
In1 0.257 0.743 0.743
In2 0.743 0.257 0.257
P1 0.000 0.500 0.500
Si1 0.500 0.000 0.000

Computed properties:
* crystal system: orthorhombic
* formation energy from raw total energies: 0.5218 eV per atom

First-principles (meta-GGA SCAN) data for In2SiP at its PBEsol-relaxed geometry, as listed in Alexandria via LeMat-Bulk.

Unit cell a=6.012 b=6.012 c=7.187 alpha=114.72 beta=114.72 gamma=90.00
Element x y z (fractional)
P1 0.250 0.750 0.500
P2 0.000 0.000 0.000
Si1 0.750 0.250 0.500
Si2 0.500 0.500 0.000
In1 0.881 0.375 0.250
In2 0.369 0.875 0.250
In3 0.625 0.631 0.750
In4 0.125 0.119 0.750

Computed properties:
* crystal system: tetragonal
* formation energy from raw total energies: 0.1371 eV per atom

First-principles (meta-GGA SCAN) data for In2SiP at its PBEsol-relaxed geometry, as listed in Alexandria via LeMat-Bulk.

Unit cell a=3.650 b=4.703 c=4.703 alpha=100.76 beta=90.00 gamma=90.00
Element x y z (fractional)
In1 0.000 0.000 0.500
In2 0.000 0.500 0.000
P1 0.500 0.000 0.000
Si1 0.500 0.500 0.500

Computed properties:
* crystal system: orthorhombic
* formation energy from raw total energies: 0.5161 eV per atom

First-principles (meta-GGA SCAN) data for InSnP3 at its PBEsol-relaxed geometry, as listed in Alexandria via LeMat-Bulk.

Unit cell a=4.960 b=4.960 c=4.960 alpha=90.00 beta=90.00 gamma=90.00
Element x y z (fractional)
P1 0.000 0.500 0.000
P2 0.000 0.000 0.500
P3 0.500 0.000 0.000
Sn1 0.500 0.500 0.500
In1 0.000 0.000 0.000

Computed properties:
* raw total energy: -18.993 eV per atom
* crystal system: cubic

First-principles (meta-GGA SCAN) data for SrInP2 at its PBEsol-relaxed geometry, as listed in Alexandria via LeMat-Bulk.

Unit cell a=3.911 b=4.654 c=4.654 alpha=90.00 beta=90.00 gamma=90.00
Element x y z (fractional)
In1 0.500 0.000 0.000
P1 0.000 0.000 0.500
P2 0.000 0.500 0.000
Sr1 0.500 0.500 0.500

Computed properties:
* raw total energy: -19.377 eV per atom
* crystal system: tetragonal

First-principles (meta-GGA SCAN) data for SrInP2 at its PBEsol-relaxed geometry, as listed in Alexandria via LeMat-Bulk.

Unit cell a=4.578 b=5.253 c=4.586 alpha=115.88 beta=90.00 gamma=115.83
Element x y z (fractional)
In1 0.000 0.000 0.500
P1 0.750 0.500 0.750
P2 0.250 0.500 0.250
Sr1 0.500 0.000 0.000

Computed properties:
* raw total energy: -19.278 eV per atom
* crystal system: tetragonal

First-principles (meta-GGA SCAN) data for SrIn2P at its PBEsol-relaxed geometry, as listed in Alexandria via LeMat-Bulk.

Unit cell a=4.372 b=4.372 c=5.116 alpha=90.00 beta=90.00 gamma=90.00
Element x y z (fractional)
In1 0.000 0.500 0.000
In2 0.500 0.000 0.000
P1 0.500 0.500 0.500
Sr1 0.000 0.000 0.500

Computed properties:
* raw total energy: -25.246 eV per atom
* crystal system: tetragonal

First-principles (meta-GGA SCAN) data for SrInP2 at its PBEsol-relaxed geometry, as listed in Alexandria via LeMat-Bulk.

Unit cell a=5.006 b=5.006 c=5.006 alpha=60.00 beta=60.00 gamma=60.00
Element x y z (fractional)
In1 0.500 0.500 0.500
P1 0.000 0.000 0.000
P2 0.750 0.750 0.750
Sr1 0.250 0.250 0.250

Computed properties:
* raw total energy: -18.982 eV per atom
* crystal system: cubic

Computed values of calculated volume (unit: Å³/atom) for the preceding records, in sequence: 20.50 26.18 19.83 24.40 21.18 21.71 24.45 22.18.